[1]
The following is a PBE-GGA calculation of crystalline IrAuCl2 at its relaxed geometry, from Alexandria.

Cell lengths 13.775, 3.082, 4.877 Å; angles 90.00, 110.64, 90.00 degrees
Positions (direct):
Ir 0.000 0.000 0.000
Ir 0.500 0.500 0.000
Au 0.000 0.500 0.500
Au 0.500 0.000 0.500
Cl 0.141 0.500 0.141
Cl 0.359 0.000 0.859
Cl 0.641 0.000 0.141
Cl 0.859 0.500 0.859

E_tot, eV per atom: -3.80
DOS at the Fermi energy, states/eV/cell: 4.210


[2]
The following is a PBE-GGA calculation of crystalline IrAuCl2 at its relaxed geometry, from Alexandria.

Cell lengths 10.399, 3.495, 6.210 Å; angles 90.00, 109.22, 90.00 degrees
Positions (direct):
Ir 0.000 0.000 0.000
Ir 0.500 0.500 0.000
Au 0.286 0.500 0.122
Au 0.786 0.000 0.122
Cl 0.092 0.500 0.260
Cl 0.421 0.000 0.742
Cl 0.592 0.000 0.260
Cl 0.921 0.500 0.742

E_tot, eV per atom: -3.84


[3]
The following is a PBE-GGA calculation of crystalline IrAuCl2 at its relaxed geometry, from Alexandria.

Cell lengths 2.968, 4.228, 5.950 Å; angles 90.00, 90.00, 90.00 degrees
Positions (direct):
Ir 0.000 0.000 0.000
Au 0.500 0.000 0.500
Cl 0.000 0.500 0.500
Cl 0.500 0.500 0.000

E_tot, eV per atom: -3.25
DOS at the Fermi energy, states/eV/cell: 3.507


[4]
The following is a PBE-GGA calculation of crystalline IrAuCl2 at its relaxed geometry, from Alexandria.

Cell lengths 3.406, 3.406, 26.457 Å; angles 90.00, 90.00, 120.00 degrees
Positions (direct):
Ir 0.000 0.000 0.000
Ir 0.333 0.667 0.667
Ir 0.667 0.333 0.333
Au 0.000 0.000 0.500
Au 0.333 0.667 0.167
Au 0.667 0.333 0.833
Cl 0.000 0.000 0.280
Cl 0.000 0.000 0.720
Cl 0.333 0.667 0.387
Cl 0.333 0.667 0.947
Cl 0.667 0.333 0.053
Cl 0.667 0.333 0.613

E_tot, eV per atom: -3.46
DOS at the Fermi energy, states/eV/cell: 11.353


[5]
The following is a PBE-GGA calculation of crystalline IrAuCl6 at its relaxed geometry, from Alexandria.

Cell lengths 6.022, 6.022, 11.661 Å; angles 97.47, 97.47, 90.03 degrees
Positions (direct):
Ir 0.000 0.500 0.000
Ir 0.500 0.000 0.500
Au 0.023 0.977 0.750
Au 0.977 0.023 0.250
Cl 0.102 0.611 0.828
Cl 0.184 0.806 0.395
Cl 0.194 0.816 0.105
Cl 0.302 0.328 0.519
Cl 0.328 0.302 0.019
Cl 0.389 0.898 0.672
Cl 0.611 0.102 0.328
Cl 0.672 0.698 0.981
Cl 0.698 0.672 0.481
Cl 0.806 0.184 0.895
Cl 0.816 0.194 0.605
Cl 0.898 0.389 0.172

E_tot, eV per atom: -3.17
DOS at the Fermi energy, states/eV/cell: 19.702


[6]
The following is a PBE-GGA calculation of crystalline IrAuCl4 at its relaxed geometry, from Alexandria.

Cell lengths 5.646, 5.646, 5.646 Å; angles 60.00, 60.00, 60.00 degrees
Positions (direct):
Ir 0.000 0.000 0.000
Au 0.750 0.750 0.750
Cl 0.374 0.374 0.374
Cl 0.374 0.374 0.877
Cl 0.374 0.877 0.374
Cl 0.877 0.374 0.374

E_tot, eV per atom: -1.80
DOS at the Fermi energy, states/eV/cell: 7.831


[7]
The following is a PBE-GGA calculation of crystalline IrAuCl2 at its relaxed geometry, from Alexandria.

Cell lengths 4.740, 4.740, 3.126 Å; angles 90.00, 90.00, 90.00 degrees
Positions (direct):
Ir 0.000 0.000 0.000
Au 0.500 0.500 0.000
Cl 0.000 0.500 0.500
Cl 0.500 0.000 0.500

E_tot, eV per atom: -3.00
DOS at the Fermi energy, states/eV/cell: 2.173


[8]
The following is a PBE-GGA calculation of crystalline IrAuCl2 at its relaxed geometry, from Alexandria.

Cell lengths 2.931, 4.536, 12.646 Å; angles 90.00, 90.00, 90.00 degrees
Positions (direct):
Ir 0.000 0.000 0.000
Ir 0.500 0.500 0.500
Au 0.000 0.500 0.681
Au 0.500 0.000 0.181
Cl 0.000 0.000 0.512
Cl 0.000 0.500 0.346
Cl 0.500 0.000 0.846
Cl 0.500 0.500 0.012

E_tot, eV per atom: -3.46
DOS at the Fermi energy, states/eV/cell: 3.903


[9]
The following is a PBE-GGA calculation of crystalline IrAuCl2 at its relaxed geometry, from Alexandria.

Cell lengths 3.009, 3.009, 9.999 Å; angles 90.00, 90.00, 90.00 degrees
Positions (direct):
Ir 0.000 0.000 0.000
Au 0.000 0.000 0.500
Cl 0.500 0.500 0.166
Cl 0.500 0.500 0.834

E_tot, eV per atom: -3.13
DOS at the Fermi energy, states/eV/cell: 2.429


[10]
The following is a PBE-GGA calculation of crystalline IrAuCl2 at its relaxed geometry, from Alexandria.

Cell lengths 4.362, 4.362, 7.656 Å; angles 90.00, 90.00, 90.00 degrees
Positions (direct):
Ir 0.000 0.000 0.000
Ir 0.500 0.500 0.500
Au 0.000 0.000 0.500
Au 0.500 0.500 0.000
Cl 0.000 0.500 0.250
Cl 0.000 0.500 0.750
Cl 0.500 0.000 0.250
Cl 0.500 0.000 0.750

E_tot, eV per atom: -2.99
DOS at the Fermi energy, states/eV/cell: 4.315


[11]
The following is a PBE-GGA calculation of crystalline IrAu4Cl at its relaxed geometry, from Alexandria.

Cell lengths 5.480, 5.480, 5.480 Å; angles 60.00, 60.00, 60.00 degrees
Positions (direct):
Ir 0.000 0.000 0.000
Au 0.124 0.625 0.625
Au 0.625 0.124 0.625
Au 0.625 0.625 0.124
Au 0.625 0.625 0.625
Cl 0.250 0.250 0.250

E_tot, eV per atom: -3.23
DOS at the Fermi energy, states/eV/cell: 8.841


[12]
The following is a PBE-GGA calculation of crystalline IrAuCl2 at its relaxed geometry, from Alexandria.

Cell lengths 3.600, 3.600, 12.171 Å; angles 90.00, 90.00, 90.00 degrees
Positions (direct):
Ir 0.000 0.000 0.000
Ir 0.500 0.500 0.500
Au 0.000 0.500 0.750
Au 0.500 0.000 0.250
Cl 0.000 0.000 0.500
Cl 0.000 0.500 0.250
Cl 0.500 0.000 0.750
Cl 0.500 0.500 0.000

E_tot, eV per atom: -3.10
DOS at the Fermi energy, states/eV/cell: 10.811


[13]
The following is a PBE-GGA calculation of crystalline IrAuCl2 at its relaxed geometry, from Alexandria.

Cell lengths 8.193, 8.193, 5.350 Å; angles 90.00, 90.00, 90.00 degrees
Positions (direct):
Ir 0.000 0.000 0.000
Ir 0.000 0.500 0.250
Ir 0.500 0.000 0.750
Ir 0.500 0.500 0.500
Au 0.000 0.000 0.500
Au 0.000 0.500 0.750
Au 0.500 0.000 0.250
Au 0.500 0.500 0.000
Cl 0.118 0.250 0.125
Cl 0.250 0.618 0.375
Cl 0.250 0.882 0.875
Cl 0.382 0.250 0.625
Cl 0.618 0.750 0.625
Cl 0.750 0.118 0.875
Cl 0.750 0.382 0.375
Cl 0.882 0.750 0.125

E_tot, eV per atom: -3.58
DOS at the Fermi energy, states/eV/cell: 4.690


[14]
The following is a PBE-GGA calculation of crystalline IrAuCl4 at its relaxed geometry, from Alexandria.

Cell lengths 9.222, 9.222, 6.182 Å; angles 91.46, 91.46, 135.65 degrees
Positions (direct):
Ir 0.051 0.949 0.750
Ir 0.949 0.051 0.250
Au 0.353 0.647 0.250
Au 0.647 0.353 0.750
Cl 0.037 0.339 0.102
Cl 0.141 0.232 0.585
Cl 0.232 0.141 0.085
Cl 0.339 0.037 0.602
Cl 0.661 0.963 0.398
Cl 0.768 0.859 0.915
Cl 0.859 0.768 0.415
Cl 0.963 0.661 0.898

E_tot, eV per atom: -3.63
DOS at the Fermi energy, states/eV/cell: 0.000


[15]
The following is a PBE-GGA calculation of crystalline IrAuCl2 at its relaxed geometry, from Alexandria.

Cell lengths 5.119, 3.553, 6.284 Å; angles 90.00, 111.53, 90.00 degrees
Positions (direct):
Ir 0.000 0.000 0.000
Au 0.236 0.500 0.830
Cl 0.564 0.000 0.724
Cl 0.904 0.500 0.209

E_tot, eV per atom: -3.72
DOS at the Fermi energy, states/eV/cell: 0.168


[16]
The following is a PBE-GGA calculation of crystalline Ir4Au2Cl at its relaxed geometry, from Alexandria.

Cell lengths 4.409, 4.409, 13.243 Å; angles 90.00, 90.00, 90.00 degrees
Positions (direct):
Ir 0.000 0.000 0.169
Ir 0.000 0.000 0.831
Ir 0.000 0.500 0.000
Ir 0.000 0.500 0.500
Ir 0.500 0.000 0.000
Ir 0.500 0.000 0.500
Ir 0.500 0.500 0.331
Ir 0.500 0.500 0.669
Au 0.000 0.000 0.366
Au 0.000 0.000 0.634
Au 0.500 0.500 0.134
Au 0.500 0.500 0.866
Cl 0.000 0.000 0.000
Cl 0.500 0.500 0.500

E_tot, eV per atom: -4.77
DOS at the Fermi energy, states/eV/cell: 24.444


[17]
The following is a PBE-GGA calculation of crystalline IrAuCl2 at its relaxed geometry, from Alexandria.

Cell lengths 2.884, 2.884, 36.295 Å; angles 90.00, 90.00, 120.00 degrees
Positions (direct):
Ir 0.000 0.000 0.000
Ir 0.333 0.667 0.667
Ir 0.667 0.333 0.333
Au 0.000 0.000 0.500
Au 0.333 0.667 0.167
Au 0.667 0.333 0.833
Cl 0.000 0.000 0.061
Cl 0.000 0.000 0.939
Cl 0.333 0.667 0.606
Cl 0.333 0.667 0.728
Cl 0.667 0.333 0.272
Cl 0.667 0.333 0.394

E_tot, eV per atom: -3.77
DOS at the Fermi energy, states/eV/cell: 10.133


[18]
The following is a PBE-GGA calculation of crystalline IrAuCl2 at its relaxed geometry, from Alexandria.

Cell lengths 5.360, 11.841, 3.465 Å; angles 90.00, 90.00, 90.00 degrees
Positions (direct):
Ir 0.000 0.000 0.000
Ir 0.500 0.500 0.000
Au 0.000 0.500 0.000
Au 0.500 0.000 0.000
Cl 0.000 0.131 0.500
Cl 0.000 0.869 0.500
Cl 0.500 0.369 0.500
Cl 0.500 0.631 0.500

E_tot, eV per atom: -3.84
DOS at the Fermi energy, states/eV/cell: 5.166


[19]
The following is a PBE-GGA calculation of crystalline IrAuCl2 at its relaxed geometry, from Alexandria.

Cell lengths 3.014, 5.732, 9.582 Å; angles 90.00, 90.00, 90.00 degrees
Positions (direct):
Ir 0.000 0.000 0.000
Ir 0.500 0.500 0.000
Au 0.000 0.500 0.229
Au 0.500 0.000 0.229
Cl 0.000 0.000 0.439
Cl 0.000 0.500 0.808
Cl 0.500 0.000 0.808
Cl 0.500 0.500 0.439

E_tot, eV per atom: -3.62
DOS at the Fermi energy, states/eV/cell: 7.483


[20]
The following is a PBE-GGA calculation of crystalline IrAuCl2 at its relaxed geometry, from Alexandria.

Cell lengths 3.063, 3.820, 6.248 Å; angles 90.00, 90.00, 90.00 degrees
Positions (direct):
Ir 0.000 0.000 0.000
Au 0.000 0.000 0.500
Cl 0.500 0.500 0.232
Cl 0.500 0.500 0.768

E_tot, eV per atom: -3.01
DOS at the Fermi energy, states/eV/cell: 2.341